Record 1
DFT (GGA-PBE) results for crystalline CsHgH6 at its relaxed geometry.

electronic total energy: -2.450 eV/atom
crystal system: triclinic

Cell lengths 4.615, 4.835, 9.504 Å; angles 121.92, 123.41, 93.93 degrees
Atoms (fractional coordinates):
H1 0.598 0.503 0.018
H2 0.896 0.528 0.832
Hg1 0.000 0.000 0.000
Cs1 0.000 0.000 0.500
H3 0.485 0.839 0.800
H4 0.515 0.161 0.200
H5 0.402 0.497 0.982
H6 0.104 0.472 0.168

=====

Record 2
DFT (GGA-PBE) results for crystalline Ce2HoTh6 at its relaxed geometry.

electronic total energy: -6.674 eV/atom
energy of formation from the pure elements: 0.9 eV/f.u.
crystal system: trigonal

Cell lengths 3.484, 9.666, 9.666 Å; angles 120.00, 90.00, 90.00 degrees
Atoms (fractional coordinates):
Th1 0.769 0.978 0.652
Ce1 0.260 0.667 0.333
Th2 0.769 0.348 0.325
Th3 0.769 0.675 0.022
Th4 0.231 0.022 0.348
Th5 0.231 0.652 0.675
Ce2 0.740 0.333 0.667
Ho1 0.500 0.000 0.000
Th6 0.231 0.325 0.978

=====

Record 3
DFT (GGA-PBE) results for crystalline Cs5I at its relaxed geometry.

electronic total energy: -1.376 eV/atom
ΔE_f (raw): -0.407 eV per atom
E above lowest polymorph: 50 meV per atom
crystal system: orthorhombic

Cell lengths 8.252, 5.334, 14.186 Å; angles 100.84, 90.00, 90.00 degrees
Atoms (fractional coordinates):
Cs1 0.000 0.398 0.795
Cs2 0.500 0.500 0.000
Cs3 0.000 0.602 0.205
Cs4 0.500 0.827 0.654
Cs5 0.500 0.173 0.346
I1 0.000 0.000 0.000

=====

Record 4
DFT (GGA-PBE) results for crystalline SrPaTeO6 at its relaxed geometry.

electronic total energy: -7.302 eV/atom
ΔE_f (raw): -2.405 eV per atom
crystal system: trigonal

Cell lengths 5.756, 5.756, 10.496 Å; angles 90.00, 90.00, 120.00 degrees
Atoms (fractional coordinates):
O1 0.017 0.641 0.856
O2 0.641 0.624 0.144
Pa1 0.667 0.333 0.750
O3 0.983 0.359 0.144
Te1 0.667 0.333 0.250
O4 0.983 0.624 0.356
O5 0.376 0.017 0.144
Sr1 0.000 0.000 0.000
O6 0.641 0.017 0.356
O7 0.624 0.983 0.856
Pa2 0.333 0.667 0.250
O8 0.624 0.641 0.644
O9 0.359 0.376 0.856
Te2 0.333 0.667 0.750
O10 0.017 0.376 0.644
O11 0.376 0.359 0.356
Sr2 0.000 0.000 0.500
O12 0.359 0.983 0.644